A relaxed InAsHAu2 crystal. Source: Alexandria via LeMat-Bulk, functional PBE.

Properties
DFT total energy ... -16.83 eV for the cell shown
Density of states at the Fermi level ... 0.39 states/eV/atom
Symmetry ... P4/mmm

Cell and atoms, written as POSCAR:
```
InAsHAu2
1.0
5.186 0.000 0.000
0.000 5.186 0.000
0.000 0.000 3.461
In As H Au
1 1 1 2
Direct
0.000 0.000 0.000
0.500 0.500 0.500
0.500 0.500 0.000
0.000 0.500 0.500
0.500 0.000 0.500
```